Version A
First-principles (GGA-PBE) data for a geometry-optimized LaMg2H2 structure, as listed in the Alexandria database.

Computed properties:
Its crystal system is tetragonal. As for the total magnetization: 1.7 μB per cell.

Cell: 3.787 3.787 12.343 Å, 90.00 90.00 90.00°
Sites, in units of the cell vectors:
1 La 0.000 0.000 0.000
2 La 0.500 0.500 0.500
3 Mg 0.000 0.500 0.250
4 Mg 0.000 0.500 0.750
5 Mg 0.500 0.000 0.250
6 Mg 0.500 0.000 0.750
7 H 0.000 0.000 0.413
8 H 0.000 0.000 0.587
9 H 0.500 0.500 0.087
10 H 0.500 0.500 0.913

Version B
First-principles (GGA-PBE) data for a geometry-optimized LaMg2H2 structure, as listed in the Alexandria database.

Computed properties:
Its crystal system is tetragonal. As for the total magnetization: 0.0 μB per cell.

Cell: 6.523 6.523 4.540 Å, 90.00 90.00 90.00°
Sites, in units of the cell vectors:
1 La 0.000 0.000 0.000
2 La 0.500 0.500 0.000
3 Mg 0.169 0.331 0.500
4 Mg 0.331 0.831 0.500
5 Mg 0.669 0.169 0.500
6 Mg 0.831 0.669 0.500
7 H 0.184 0.316 0.000
8 H 0.316 0.816 0.000
9 H 0.684 0.184 0.000
10 H 0.816 0.684 0.000

The least stable of them is version A.

Version A
First-principles (GGA-PBE) data for a geometry-optimized LaMgH2 structure, as listed in the Alexandria database.

Computed properties:
Its crystal system is cubic. As for the total magnetization: 0.0 μB per cell.

Cell: 6.251 6.251 6.251 Å, 90.00 90.00 90.00°
Sites, in units of the cell vectors:
1 La 0.000 0.000 0.000
2 La 0.000 0.500 0.500
3 La 0.500 0.000 0.500
4 La 0.500 0.500 0.000
5 Mg 0.000 0.000 0.500
6 Mg 0.000 0.500 0.000
7 Mg 0.500 0.000 0.000
8 Mg 0.500 0.500 0.500
9 H 0.250 0.250 0.250
10 H 0.250 0.250 0.750
11 H 0.250 0.750 0.250
12 H 0.250 0.750 0.750
13 H 0.750 0.250 0.250
14 H 0.750 0.250 0.750
15 H 0.750 0.750 0.250
16 H 0.750 0.750 0.750

Version B
First-principles (GGA-PBE) data for a geometry-optimized LaMgH2 structure, as listed in the Alexandria database.

Computed properties:
Its crystal system is tetragonal. As for the total magnetization: 0.0 μB per cell.

Cell: 4.964 4.964 11.012 Å, 90.00 90.00 90.00°
Sites, in units of the cell vectors:
1 La 0.000 0.000 0.000
2 La 0.000 0.500 0.250
3 La 0.500 0.000 0.750
4 La 0.500 0.500 0.500
5 Mg 0.000 0.000 0.500
6 Mg 0.000 0.500 0.750
7 Mg 0.500 0.000 0.250
8 Mg 0.500 0.500 0.000
9 H 0.213 0.250 0.625
10 H 0.250 0.713 0.875
11 H 0.250 0.787 0.375
12 H 0.287 0.250 0.125
13 H 0.713 0.750 0.125
14 H 0.750 0.213 0.375
15 H 0.750 0.287 0.875
16 H 0.787 0.750 0.625

The least stable of them is version A.

Version A
First-principles (GGA-PBE) data for a geometry-optimized LaMg2H structure, as listed in the Alexandria database.

Computed properties:
Its crystal system is cubic. As for the total magnetization: 0.0 μB per cell.

Cell: 7.349 7.349 7.349 Å, 90.00 90.00 90.00°
Sites, in units of the cell vectors:
1 La 0.000 0.000 0.000
2 La 0.000 0.500 0.500
3 La 0.500 0.000 0.500
4 La 0.500 0.500 0.000
5 Mg 0.250 0.250 0.250
6 Mg 0.250 0.250 0.750
7 Mg 0.250 0.750 0.250
8 Mg 0.250 0.750 0.750
9 Mg 0.750 0.250 0.250
10 Mg 0.750 0.250 0.750
11 Mg 0.750 0.750 0.250
12 Mg 0.750 0.750 0.750
13 H 0.000 0.000 0.500
14 H 0.000 0.500 0.000
15 H 0.500 0.000 0.000
16 H 0.500 0.500 0.500

Version B
First-principles (GGA-PBE) data for a geometry-optimized LaMg2H structure, as listed in the Alexandria database.

Computed properties:
Its crystal system is cubic. As for the total magnetization: 0.0 μB per cell.

Cell: 6.356 6.356 6.356 Å, 60.00 60.00 60.00°
Sites, in units of the cell vectors:
1 La 0.125 0.125 0.125
2 La 0.875 0.875 0.875
3 Mg 0.000 0.500 0.500
4 Mg 0.500 0.000 0.500
5 Mg 0.500 0.500 0.000
6 Mg 0.500 0.500 0.500
7 H 0.375 0.375 0.375
8 H 0.625 0.625 0.625

The least stable of them is version A.

Version A
First-principles (GGA-PBE) data for a geometry-optimized NaLa2MgH structure, as listed in the Alexandria database.

Computed properties:
Its crystal system is tetragonal. As for the total magnetization: 0.0 μB per cell.

Cell: 5.238 5.238 4.708 Å, 90.00 90.00 90.00°
Sites, in units of the cell vectors:
1 Na 0.000 0.000 0.000
2 La 0.000 0.500 0.500
3 La 0.500 0.000 0.500
4 Mg 0.500 0.500 0.000
5 H 0.000 0.000 0.500

Version B
First-principles (GGA-PBE) data for a geometry-optimized NaLa2MgH structure, as listed in the Alexandria database.

Computed properties:
Its crystal system is tetragonal. As for the total magnetization: 0.0 μB per cell.

Cell: 5.198 5.198 4.765 Å, 90.00 90.00 90.00°
Sites, in units of the cell vectors:
1 Na 0.000 0.000 0.000
2 La 0.000 0.500 0.500
3 La 0.500 0.000 0.500
4 Mg 0.500 0.500 0.000
5 H 0.500 0.500 0.500

The least stable of them is version B.

Version A
First-principles (GGA-PBE) data for a geometry-optimized LaY2MgH structure, as listed in the Alexandria database.

Computed properties:
Its crystal system is tetragonal. As for the total magnetization: 0.0 μB per cell.

Cell: 4.956 4.956 5.012 Å, 90.00 90.00 90.00°
Sites, in units of the cell vectors:
1 La 0.000 0.000 0.000
2 Y 0.000 0.500 0.500
3 Y 0.500 0.000 0.500
4 Mg 0.500 0.500 0.000
5 H 0.500 0.500 0.500

Version B
First-principles (GGA-PBE) data for a geometry-optimized LaY2MgH structure, as listed in the Alexandria database.

Computed properties:
Its crystal system is tetragonal. As for the total magnetization: 0.0 μB per cell.

Cell: 5.003 5.003 5.001 Å, 90.00 90.00 90.00°
Sites, in units of the cell vectors:
1 La 0.000 0.000 0.000
2 Y 0.000 0.500 0.500
3 Y 0.500 0.000 0.500
4 Mg 0.500 0.500 0.000
5 H 0.000 0.000 0.500

The least stable of them is version A.

Version A
First-principles (GGA-PBE) data for a geometry-optimized LaMn2H2 structure, as listed in the Alexandria database.

Computed properties:
Its crystal system is tetragonal. As for the total magnetization: 5.2 μB per cell.

Cell: 3.365 3.365 10.728 Å, 90.00 90.00 90.00°
Sites, in units of the cell vectors:
1 La 0.000 0.000 0.000
2 La 0.500 0.500 0.500
3 Mn 0.000 0.500 0.250
4 Mn 0.000 0.500 0.750
5 Mn 0.500 0.000 0.250
6 Mn 0.500 0.000 0.750
7 H 0.000 0.000 0.333
8 H 0.000 0.000 0.667
9 H 0.500 0.500 0.167
10 H 0.500 0.500 0.833

Version B
First-principles (GGA-PBE) data for a geometry-optimized LaMn2H2 structure, as listed in the Alexandria database.

Computed properties:
Its crystal system is tetragonal. As for the total magnetization: 5.9 μB per cell.

Cell: 6.597 6.597 2.929 Å, 90.00 90.00 90.00°
Sites, in units of the cell vectors:
1 La 0.000 0.000 0.000
2 La 0.500 0.500 0.000
3 Mn 0.107 0.393 0.500
4 Mn 0.393 0.893 0.500
5 Mn 0.607 0.107 0.500
6 Mn 0.893 0.607 0.500
7 H 0.105 0.605 0.000
8 H 0.395 0.105 0.000
9 H 0.605 0.895 0.000
10 H 0.895 0.395 0.000

The least stable of them is version B.

Version A
First-principles (GGA-PBE) data for a geometry-optimized LaMo3H structure, as listed in the Alexandria database.

Computed properties:
Its crystal system is cubic. As for the total magnetization: 0.6 μB per cell.

Cell: 4.792 4.792 4.792 Å, 90.00 90.00 90.00°
Sites, in units of the cell vectors:
1 La 0.000 0.000 0.000
2 Mo 0.000 0.000 0.500
3 Mo 0.000 0.500 0.000
4 Mo 0.500 0.000 0.000
5 H 0.500 0.500 0.500

Version B
First-principles (GGA-PBE) data for a geometry-optimized LaMo3H structure, as listed in the Alexandria database.

Computed properties:
Its crystal system is cubic. As for the total magnetization: 0.7 μB per cell.

Cell: 4.307 4.307 4.307 Å, 90.00 90.00 90.00°
Sites, in units of the cell vectors:
1 La 0.000 0.000 0.000
2 Mo 0.000 0.500 0.500
3 Mo 0.500 0.000 0.500
4 Mo 0.500 0.500 0.000
5 H 0.500 0.500 0.500

The least stable of them is version A.

Version A
First-principles (GGA-PBE) data for a geometry-optimized LaMo2H structure, as listed in the Alexandria database.

Computed properties:
Its crystal system is cubic. As for the total magnetization: 0.0 μB per cell.

Cell: 5.827 5.827 5.827 Å, 60.00 60.00 60.00°
Sites, in units of the cell vectors:
1 La 0.125 0.125 0.125
2 La 0.875 0.875 0.875
3 Mo 0.000 0.500 0.500
4 Mo 0.500 0.000 0.500
5 Mo 0.500 0.500 0.000
6 Mo 0.500 0.500 0.500
7 H 0.375 0.375 0.375
8 H 0.625 0.625 0.625

Version B
First-principles (GGA-PBE) data for a geometry-optimized LaMo2H structure, as listed in the Alexandria database.

Computed properties:
Its crystal system is cubic. As for the total magnetization: 0.0 μB per cell.

Cell: 6.316 6.316 6.316 Å, 90.00 90.00 90.00°
Sites, in units of the cell vectors:
1 La 0.000 0.000 0.000
2 La 0.000 0.500 0.500
3 La 0.500 0.000 0.500
4 La 0.500 0.500 0.000
5 Mo 0.250 0.250 0.250
6 Mo 0.250 0.250 0.750
7 Mo 0.250 0.750 0.250
8 Mo 0.250 0.750 0.750
9 Mo 0.750 0.250 0.250
10 Mo 0.750 0.250 0.750
11 Mo 0.750 0.750 0.250
12 Mo 0.750 0.750 0.750
13 H 0.000 0.000 0.500
14 H 0.000 0.500 0.000
15 H 0.500 0.000 0.000
16 H 0.500 0.500 0.500

The least stable of them is version B.